A plane-wave DFT calculation with PBE was carried out for a relaxed CaIn2Pd5 crystal.

- ρ: 9.28 g/cm3
- Distance to the lowest polymorph of the same formula: 0.000 eV per atom
- Energy of formation from the pure elements: -531 meV per atom
- E_tot: -37.69 eV for the cell shown

```
8
Lattice="4.137 0.000 -1.551 -0.582 4.096 -1.551 0.615 0.709 7.931" Properties=species:S:1:pos:R:3 pbc="T T T"
Pd 3.821 2.019 3.898
Ca 0.000 0.000 0.000
In 1.211 1.395 3.228
Pd 1.462 4.067 3.898
Pd 1.777 2.048 -1.551
In 2.959 3.409 1.601
Pd 2.708 0.737 0.931
Pd 0.349 2.785 0.931
```